Crystalline H2IrF6 at its relaxed geometry, computed with GGA-PBE.

Geometry as extended XYZ:
```
18
Lattice="4.646 0.000 0.000 0.000 5.416 0.000 -3.947 0.000 9.254" Properties=species:S:1:pos:R:3 pbc="T T T"
H -0.025 1.242 0.721
H -1.998 1.466 5.348
H 2.698 3.950 3.906
H 0.724 4.174 8.533
Ir 2.323 0.000 0.000
Ir 0.350 2.708 4.627
F -0.924 3.726 3.450
F -2.898 4.398 8.077
F -0.981 1.221 4.834
F 0.992 1.487 0.207
F -0.411 3.588 6.149
F 1.562 4.537 1.522
F -0.863 0.879 7.732
F 1.110 1.829 3.105
F -0.293 3.929 9.047
F 1.681 4.195 4.420
F 3.597 1.018 1.177
F 1.624 1.690 5.804
```

SG = P2_1/c, No. 14
Density of states at the Fermi level = 13.8 states/eV per cell
Crystal system = monoclinic
DFT total energy = -4.43 eV per atom
ΔE to the lowest computed polymorph = 0.00 kJ/mol of atoms

---

Crystalline HIrF3 at its relaxed geometry, computed with GGA-PBE.

Geometry as extended XYZ:
```
5
Lattice="3.597 0.000 0.000 0.000 3.597 0.000 0.000 0.000 3.597" Properties=species:S:1:pos:R:3 pbc="T T T"
H 0.000 0.000 0.000
Ir 1.799 1.799 1.799
F 0.000 0.000 1.799
F 0.000 1.799 0.000
F 1.799 0.000 0.000
```

SG = Pm-3m, No. 221
Density of states at the Fermi level = 1.9 states/eV per cell
Crystal system = cubic
DFT total energy = -3.56 eV per atom
ΔE to the lowest computed polymorph = 38.55 kJ/mol of atoms

---

Crystalline HIrF3 at its relaxed geometry, computed with GGA-PBE.

Geometry as extended XYZ:
```
5
Lattice="4.076 0.000 0.000 0.000 4.076 0.000 0.000 0.000 4.076" Properties=species:S:1:pos:R:3 pbc="T T T"
H 0.000 0.000 0.000
Ir 2.038 2.038 2.038
F 0.000 2.038 2.038
F 2.038 0.000 2.038
F 2.038 2.038 0.000
```

SG = Pm-3m, No. 221
Density of states at the Fermi level = 3.5 states/eV per cell
Crystal system = cubic
DFT total energy = -3.96 eV per atom
ΔE to the lowest computed polymorph = 0.00 kJ/mol of atoms

---

Crystalline HIrF at its relaxed geometry, computed with GGA-PBE.

Geometry as extended XYZ:
```
6
Lattice="2.729 0.000 0.000 1.350 2.372 0.000 0.500 0.468 10.631" Properties=species:S:1:pos:R:3 pbc="T T T"
H 0.000 0.000 0.000
H 1.948 1.133 8.064
Ir 0.579 0.341 4.317
Ir 1.943 1.133 6.459
F 0.578 0.342 2.401
F 3.792 2.386 10.339
```

SG = P1, No. 1
Density of states at the Fermi level = 2.3 states/eV per cell
Crystal system = triclinic
DFT total energy = -5.37 eV per atom
ΔE to the lowest computed polymorph = 0.00 kJ/mol of atoms

---

Crystalline HIrF2 at its relaxed geometry, computed with GGA-PBE.

Geometry as extended XYZ:
```
4
Lattice="1.329 0.767 5.952 -1.329 0.767 5.952 0.000 -1.535 5.952" Properties=species:S:1:pos:R:3 pbc="T T T"
H 0.000 0.000 0.000
Ir 0.000 0.000 8.928
F 0.000 0.000 6.892
F 0.000 0.000 10.964
```

SG = R-3m, No. 166
Density of states at the Fermi level = 2.4 states/eV per cell
Crystal system = trigonal
DFT total energy = -4.46 eV per atom
ΔE to the lowest computed polymorph = 6.41 kJ/mol of atoms

---

Crystalline H2IrF6 at its relaxed geometry, computed with GGA-PBE.

Geometry as extended XYZ:
```
18
Lattice="5.079 -4.422 0.000 5.079 4.422 0.000 -0.809 0.000 5.198" Properties=species:S:1:pos:R:3 pbc="T T T"
H 1.143 0.157 1.558
H 0.739 -0.157 4.157
H 8.611 0.157 1.041
H 8.207 -0.157 3.639
Ir 4.877 0.821 1.299
Ir 4.473 -0.821 3.898
F 1.320 0.494 0.681
F 3.641 2.090 1.946
F 0.915 -0.494 3.280
F 3.314 0.693 4.621
F 6.113 2.090 0.653
F 3.718 -0.693 2.022
F 5.632 0.693 3.175
F 3.237 -2.090 4.545
F 6.036 -0.693 0.577
F 8.435 0.494 1.918
F 5.709 -2.090 3.252
F 8.030 -0.494 4.517
```

SG = C2/c, No. 15
Density of states at the Fermi level = 1.1 states/eV per cell
Crystal system = monoclinic
DFT total energy = -4.39 eV per atom
ΔE to the lowest computed polymorph = 3.81 kJ/mol of atoms